[1]
Computed, not measured: a geometry-optimized Pr6Dy5Er2 structure at the PBE level of DFT.

Cell lengths 11.734, 20.760, 3.634 Å; angles 90.00, 90.00, 90.00 degrees
Space group Pbam (No. 55)
Inequivalent atoms, fractional coordinates:
1 Pr 0.061 0.081 0.000
2 Pr 0.085 0.368 0.000
3 Pr 0.172 0.636 0.500
4 Dy 0.000 0.500 0.500
5 Dy 0.093 0.227 0.500
6 Dy 0.197 0.944 0.500
7 Er 0.165 0.791 0.000

Energy relative to the elements = 0.1037 eV per atom

=====

[2]
Computed, not measured: a geometry-optimized PrDy2Er structure at the PBE level of DFT.

Cell lengths 3.5920, 3.5920, 34.8034 Å; angles 90.00, 90.00, 120.00 degrees
Space group R3m (No. 160, hexagonal axes)
Inequivalent atoms, fractional coordinates:
1 Pr 0.0000 0.0000 0.0000
2 Dy 0.0000 0.0000 0.5806
3 Dy 0.0000 0.0000 0.7518
4 Er 0.0000 0.0000 0.1660

E above lowest polymorph = 2 meV per atom
Energy relative to the elements = 0.0216 eV per atom

=====

Question: Which value of energy relative to the elements does entry 1 give?
Answer: 0.1037 eV per atom

=====

Question: What is the formula in the second record?
Answer: PrDy2Er